1.
HfBeBi3 | GGA-PBE | relaxed

The structure in POSCAR format:
```
HfBeBi3
1.0
5.6207 0.0000 0.0000
0.0000 5.6207 0.0000
0.0000 0.0000 5.6207
Hf Bi Be
1 3 1
direct
0.0000 0.0000 0.0000
0.0000 0.5000 0.0000
0.0000 0.0000 0.5000
0.5000 0.0000 0.0000
0.5000 0.5000 0.5000
```

Computed properties:
The formation energy is 873 meV/atom. The value obtained for the density of states at the Fermi level is 0.783 states/eV/atom.

***

2.
Hf5Be2Bi2 | GGA-PBE | relaxed

The structure in POSCAR format:
```
Hf5Be2Bi2
1.0
6.8001 0.0000 2.4684
0.0000 7.2207 0.0000
0.9465 0.0000 7.9935
Be Hf Bi
4 10 4
direct
0.1339 0.3685 0.0000
0.8661 0.6315 0.0000
0.6339 0.1315 0.0000
0.3661 0.8685 0.0000
0.4468 0.1660 0.7816
0.0000 0.0000 0.0000
0.2284 0.1660 0.2184
0.7284 0.3340 0.2184
0.5000 0.5000 0.0000
0.7716 0.8340 0.7816
0.9468 0.3340 0.7816
0.5532 0.8340 0.2184
0.2716 0.6660 0.7816
0.0532 0.6660 0.2184
0.7870 0.0000 0.4260
0.2130 0.0000 0.5740
0.2870 0.5000 0.4260
0.7130 0.5000 0.5740
```

Computed properties:
The formation energy is -140 meV/atom. The value obtained for the density of states at the Fermi level is 0.628 states/eV/atom.

***

3.
HfBeBi3 | GGA-PBE | relaxed

The structure in POSCAR format:
```
HfBeBi3
1.0
-2.3512 -1.9073 4.0819
4.4964 -1.2864 1.9889
0.2868 4.5316 2.2826
Bi Hf Be
3 1 1
direct
0.0000 0.5000 0.0000
0.0000 0.0000 0.5000
0.5000 0.0000 0.0000
0.5000 0.5000 0.5000
0.0000 0.0000 0.0000
```

Computed properties:
The formation energy is 699 meV/atom. The value obtained for the density of states at the Fermi level is 0.827 states/eV/atom.

***

4.
HfBe2BiIr | GGA-PBE | relaxed

The structure in POSCAR format:
```
HfBe2BiIr
1.0
-0.1542 1.0608 4.2023
1.4050 -5.2825 1.3851
4.1973 1.0850 -0.1199
Ir Hf Bi Be
1 1 1 2
direct
0.5000 0.5000 0.5000
0.0000 0.5000 0.0000
0.0000 0.0000 0.0000
0.5000 0.0000 0.0000
0.0000 0.0000 0.5000
```

Computed properties:
The formation energy is 1496 meV/atom. The value obtained for the density of states at the Fermi level is 0.578 states/eV/atom.

***

Copy entry 2 word for word.
Hf5Be2Bi2 | GGA-PBE | relaxed

The structure in POSCAR format:
```
Hf5Be2Bi2
1.0
6.8001 0.0000 2.4684
0.0000 7.2207 0.0000
0.9465 0.0000 7.9935
Be Hf Bi
4 10 4
direct
0.1339 0.3685 0.0000
0.8661 0.6315 0.0000
0.6339 0.1315 0.0000
0.3661 0.8685 0.0000
0.4468 0.1660 0.7816
0.0000 0.0000 0.0000
0.2284 0.1660 0.2184
0.7284 0.3340 0.2184
0.5000 0.5000 0.0000
0.7716 0.8340 0.7816
0.9468 0.3340 0.7816
0.5532 0.8340 0.2184
0.2716 0.6660 0.7816
0.0532 0.6660 0.2184
0.7870 0.0000 0.4260
0.2130 0.0000 0.5740
0.2870 0.5000 0.4260
0.7130 0.5000 0.5740
```

Computed properties:
The formation energy is -140 meV/atom. The value obtained for the density of states at the Fermi level is 0.628 states/eV/atom.